Model i:
! ScTeSe, optimized geometry, DFT PBE; values from VASP
&SYSTEM
  ibrav = 0, nat = 3, ntyp = 3
/
ATOMIC_SPECIES
Te 127.60 Te.upf
Se 78.96 Se.upf
Sc 44.96 Sc.upf
ATOMIC_POSITIONS angstrom
Te 0.000 0.000 0.000
Se 7.245 4.183 2.958
Sc 4.830 2.789 1.972
CELL_PARAMETERS angstrom
4.830 0.000 0.000
2.415 4.183 0.000
2.415 1.394 3.944
! Fermi-level density of states ... 4.17 states/eV/f.u.
! Crystal system ... cubic
! V ... 26.56 Å³/atom
! Calculated density ... 5.24 g/cm3
! Size of the total moment ... 0.0 μB per formula unit

=====

Model ii:
! ScTeSe, optimized geometry, DFT PBE; values from VASP
&SYSTEM
  ibrav = 0, nat = 3, ntyp = 3
/
ATOMIC_SPECIES
Te 127.60 Te.upf
Se 78.96 Se.upf
Sc 44.96 Sc.upf
ATOMIC_POSITIONS angstrom
Te -4.168 4.976 3.614
Se -2.381 2.843 2.064
Sc -6.239 7.449 5.410
CELL_PARAMETERS angstrom
-1.332 4.198 4.398
-5.062 3.436 1.147
2.236 -5.647 -1.361
! Fermi-level density of states ... 1.39 states/eV/f.u.
! Crystal system ... orthorhombic
! V ... 23.79 Å³/atom
! Calculated density ... 5.85 g/cm3
! Size of the total moment ... 0.0 μB per formula unit

=====

Model iii:
! ScTeSe, optimized geometry, DFT PBE; values from VASP
&SYSTEM
  ibrav = 0, nat = 6, ntyp = 3
/
ATOMIC_SPECIES
Sc 44.96 Sc.upf
Se 78.96 Se.upf
Te 127.60 Te.upf
ATOMIC_POSITIONS angstrom
Sc 3.013 1.553 4.003
Sc 0.603 4.241 2.506
Se 0.647 1.486 2.686
Se 2.968 4.308 3.823
Te 1.601 1.638 6.649
Te 2.014 4.156 -0.140
CELL_PARAMETERS angstrom
3.872 0.000 -0.932
-0.048 5.516 -0.198
-0.209 0.277 7.638
! Fermi-level density of states ... 0.41 states/eV/f.u.
! Crystal system ... orthorhombic
! V ... 27.05 Å³/atom
! Calculated density ... 5.15 g/cm3
! Size of the total moment ... 0.0 μB per formula unit

=====

Model iv:
! ScTeSe, optimized geometry, DFT PBE; values from VASP
&SYSTEM
  ibrav = 0, nat = 3, ntyp = 3
/
ATOMIC_SPECIES
Sc 44.96 Sc.upf
Te 127.60 Te.upf
Se 78.96 Se.upf
ATOMIC_POSITIONS angstrom
Sc 7.276 4.201 2.971
Te 4.851 2.801 1.980
Se 0.000 0.000 0.000
CELL_PARAMETERS angstrom
4.851 0.000 0.000
2.425 4.201 0.000
2.425 1.400 3.961
! Fermi-level density of states ... 2.51 states/eV/f.u.
! Crystal system ... cubic
! V ... 26.91 Å³/atom
! Calculated density ... 5.17 g/cm3
! Size of the total moment ... 0.0 μB per formula unit

=====

From most stable to least stable, the computed energies give model iii, model ii, model iv, model i.

=====

Model i:
! ScTeSe3, optimized geometry, DFT PBE; values from VASP
&SYSTEM
  ibrav = 0, nat = 5, ntyp = 3
/
ATOMIC_SPECIES
Se 78.96 Se.upf
Sc 44.96 Sc.upf
Te 127.60 Te.upf
ATOMIC_POSITIONS angstrom
Se -1.049 2.013 -1.204
Se 0.704 -0.988 -2.265
Se -2.238 -1.254 -0.148
Sc 0.000 0.000 0.000
Te -2.582 -0.229 -3.618
CELL_PARAMETERS angstrom
-2.097 4.027 -2.407
1.408 -1.975 -4.531
-4.475 -2.509 -0.297
! Fermi-level density of states ... 2.96 states/eV/f.u.
! Crystal system ... cubic
! V ... 27.15 Å³/atom
! Calculated density ... 5.01 g/cm3
! Size of the total moment ... 0.0 μB per formula unit

=====

Model ii:
! ScTeSe3, optimized geometry, DFT PBE; values from VASP
&SYSTEM
  ibrav = 0, nat = 5, ntyp = 3
/
ATOMIC_SPECIES
Se 78.96 Se.upf
Te 127.60 Te.upf
Sc 44.96 Sc.upf
ATOMIC_POSITIONS angstrom
Se 2.643 0.000 0.000
Se 0.000 0.000 2.643
Se 0.000 2.643 0.000
Te 0.000 0.000 0.000
Sc 2.643 2.643 2.643
CELL_PARAMETERS angstrom
5.286 0.000 0.000
0.000 5.286 0.000
0.000 0.000 5.286
! Fermi-level density of states ... 8.27 states/eV/f.u.
! Crystal system ... cubic
! V ... 29.54 Å³/atom
! Calculated density ... 4.60 g/cm3
! Size of the total moment ... 0.5 μB per formula unit

=====

From most stable to least stable, the computed energies give model i, model ii.

=====

Model i:
! Sc3Te2Se, optimized geometry, DFT PBE; values from VASP
&SYSTEM
  ibrav = 0, nat = 12, ntyp = 3
/
ATOMIC_SPECIES
Te 127.60 Te.upf
Se 78.96 Se.upf
Sc 44.96 Sc.upf
ATOMIC_POSITIONS angstrom
Te 5.589 3.520 1.748
Te 2.775 4.730 3.816
Te 2.775 1.010 5.993
Te 5.589 -0.201 3.925
Se 2.775 0.656 1.121
Se 5.589 3.873 6.620
Sc 2.775 3.308 1.161
Sc 5.589 1.221 6.580
Sc 2.775 -0.609 3.453
Sc 5.589 0.692 1.183
Sc 2.774 3.837 6.558
Sc 5.589 5.138 4.288
CELL_PARAMETERS angstrom
5.628 0.000 0.000
0.000 8.198 0.399
0.000 -3.669 7.342
! Fermi-level density of states ... 7.60 states/eV/f.u.
! Crystal system ... orthorhombic
! V ... 28.91 Å³/atom
! Calculated density ... 4.49 g/cm3
! Size of the total moment ... 0.0 μB per formula unit

=====

Model ii:
! Sc3Te2Se, optimized geometry, DFT PBE; values from VASP
&SYSTEM
  ibrav = 0, nat = 12, ntyp = 3
/
ATOMIC_SPECIES
Te 127.60 Te.upf
Se 78.96 Se.upf
Sc 44.96 Sc.upf
ATOMIC_POSITIONS angstrom
Te 0.000 0.000 0.000
Te -0.285 0.722 5.700
Te -1.645 3.573 8.164
Te 1.203 4.614 5.281
Se -2.651 5.884 4.908
Se -1.307 2.992 2.449
Sc 1.041 4.720 8.351
Sc 2.466 2.040 5.868
Sc -0.447 0.475 2.830
Sc -1.482 3.467 5.094
Sc -0.122 0.968 8.569
Sc -2.908 6.146 7.577
CELL_PARAMETERS angstrom
-4.085 2.133 5.312
3.516 -0.690 6.088
0.127 6.743 2.045
! Fermi-level density of states ... 3.11 states/eV/f.u.
! Crystal system ... monoclinic
! V ... 23.85 Å³/atom
! Calculated density ... 5.44 g/cm3
! Size of the total moment ... 0.0 μB per formula unit

=====

From most stable to least stable, the computed energies give model ii, model i.

=====

Model i:
! Sc3TeSe, optimized geometry, DFT PBE; values from VASP
&SYSTEM
  ibrav = 0, nat = 20, ntyp = 3
/
ATOMIC_SPECIES
Sc 44.96 Sc.upf
Se 78.96 Se.upf
Te 127.60 Te.upf
ATOMIC_POSITIONS angstrom
Sc 7.059 3.954 4.372
Sc 4.925 7.958 3.559
Sc 8.399 9.844 7.543
Sc 3.955 2.405 5.688
Sc 5.122 5.735 5.962
Sc 7.255 6.088 1.891
Sc 0.482 0.519 1.705
Sc 1.822 6.410 4.875
Sc 3.782 1.917 0.469
Sc 5.099 8.447 8.779
Sc 3.759 4.629 3.286
Sc 1.625 4.275 7.357
Se 2.790 1.970 8.059
Se 6.090 8.394 1.189
Se 6.090 3.376 6.813
Se 2.790 6.988 2.435
Te 2.594 1.851 3.198
Te 5.894 3.552 1.623
Te 2.986 6.812 7.625
Te 6.286 8.513 6.049
CELL_PARAMETERS angstrom
6.600 0.328 0.292
1.140 8.807 0.232
1.140 1.230 8.723
! Fermi-level density of states ... 4.46 states/eV/f.u.
! Crystal system ... monoclinic
! V ... 24.97 Å³/atom
! Calculated density ... 4.54 g/cm3
! Size of the total moment ... 0.0 μB per formula unit

=====

Model ii:
! Sc3TeSe, optimized geometry, DFT PBE; values from VASP
&SYSTEM
  ibrav = 0, nat = 10, ntyp = 3
/
ATOMIC_SPECIES
Se 78.96 Se.upf
Sc 44.96 Sc.upf
Te 127.60 Te.upf
ATOMIC_POSITIONS angstrom
Se 0.980 1.912 4.909
Se 2.939 4.909 3.195
Sc 2.939 0.393 5.970
Sc 0.980 2.334 7.934
Sc 0.980 6.429 2.135
Sc 0.980 3.207 2.499
Sc 2.939 3.615 5.606
Sc 2.939 4.488 0.171
Te 0.980 5.428 6.895
Te 2.939 1.394 1.210
CELL_PARAMETERS angstrom
3.918 0.000 0.000
0.000 6.423 -0.824
0.000 0.399 8.929
! Fermi-level density of states ... 5.04 states/eV/f.u.
! Crystal system ... monoclinic
! V ... 22.60 Å³/atom
! Calculated density ... 5.02 g/cm3
! Size of the total moment ... 0.0 μB per formula unit

=====

Model iii:
! Sc3TeSe, optimized geometry, DFT PBE; values from VASP
&SYSTEM
  ibrav = 0, nat = 5, ntyp = 3
/
ATOMIC_SPECIES
Se 78.96 Se.upf
Te 127.60 Te.upf
Sc 44.96 Sc.upf
ATOMIC_POSITIONS angstrom
Se 0.000 0.000 0.000
Te -2.288 -3.337 -1.590
Sc -2.464 -0.352 0.323
Sc -0.238 -0.564 -2.434
Sc 0.414 -2.420 0.521
CELL_PARAMETERS angstrom
-4.928 -0.705 0.646
-0.477 -1.129 -4.868
0.829 -4.840 1.041
! Fermi-level density of states ... 8.49 states/eV/f.u.
! Crystal system ... cubic
! V ... 25.30 Å³/atom
! Calculated density ... 4.48 g/cm3
! Size of the total moment ... 1.1 μB per formula unit

=====

From most stable to least stable, the computed energies give model ii, model i, model iii.

=====

Model i:
! ThScSe, optimized geometry, DFT PBE; values from VASP
&SYSTEM
  ibrav = 0, nat = 3, ntyp = 3
/
ATOMIC_SPECIES
Se 78.96 Se.upf
Sc 44.96 Sc.upf
Th 232.04 Th.upf
ATOMIC_POSITIONS angstrom
Se -4.151 -2.263 0.592
Sc -3.252 -0.167 -0.897
Th -5.760 -0.686 2.620
CELL_PARAMETERS angstrom
-1.503 2.031 -2.773
0.286 -3.725 -0.345
-5.973 -0.711 2.717
! Fermi-level density of states ... 3.22 states/eV/f.u.
! Crystal system ... trigonal
! V ... 26.82 Å³/atom
! Calculated density ... 7.35 g/cm3
! Size of the total moment ... 0.7 μB per formula unit

=====

Model ii:
! ThScSe, optimized geometry, DFT PBE; values from VASP
&SYSTEM
  ibrav = 0, nat = 6, ntyp = 3
/
ATOMIC_SPECIES
Th 232.04 Th.upf
Sc 44.96 Sc.upf
Se 78.96 Se.upf
ATOMIC_POSITIONS angstrom
Th -4.065 -1.649 2.694
Th -3.133 -4.309 4.892
Sc -6.818 -4.907 5.651
Sc -0.380 -1.051 1.935
Se -2.361 -2.146 0.320
Se -4.836 -3.813 7.266
CELL_PARAMETERS angstrom
-1.459 -3.498 -0.319
1.526 -1.204 6.217
-7.265 -1.257 1.687
! Fermi-level density of states ... 3.60 states/eV/f.u.
! Crystal system ... monoclinic
! V ... 26.99 Å³/atom
! Calculated density ... 7.30 g/cm3
! Size of the total moment ... 0.7 μB per formula unit

=====

From most stable to least stable, the computed energies give model i, model ii.